DFT (GGA-PBE) results for a relaxed LiNb2IBr crystal.

Lattice parameters (Å, degrees): 4.7926 4.4671 4.7926 90.00 90.00 90.00
Last column: nearest neighbours and their distance in Å.
Fractional positions:
I 0.0000 0.5000 0.0000  2 Li 2.23
Nb 0.0000 0.0000 0.5000  2 Li 2.40
Nb 0.5000 0.0000 0.0000  2 Li 2.40
Br 0.5000 0.5000 0.5000  8 Nb 3.28, 4 I 3.39
Li 0.0000 0.0000 0.0000  2 I 2.23, 4 Nb 2.40

Calculated values
Calculated total energy in eV per atom: -3.885
Space-group type: P4/mmm, No. 123
Magnetic moment in μB per atom: 0.00

DFT (GGA-PBE) results for a relaxed Ca3Ga4Ag4 crystal.

Lattice parameters (Å, degrees): 3.7289 4.6230 14.2468 80.17 82.45 89.93
Last column: nearest neighbours and their distance in Å.
Fractional positions:
Ca 0.1430 0.6438 0.7147  6 Ga 3.23-3.26, 6 Ag 3.25-3.29
Ca 0.8570 0.3562 0.2853  6 Ga 3.23-3.26, 6 Ag 3.25-3.29
Ca 0.0000 0.0000 0.0000  4 Ag 3.21, 8 Ga 3.23-3.25
Ga 0.5462 0.5470 0.9069  1 Ga 2.59, 2 Ag 2.66
Ga 0.4539 0.4530 0.0930  1 Ga 2.59, 2 Ag 2.66
Ga 0.3107 0.8101 0.3777  5 Ag 2.64-2.73
Ga 0.6894 0.1899 0.6223  5 Ag 2.64-2.73
Ag 0.5943 0.0959 0.8122  3 Ga 2.64-2.66
Ag 0.2602 0.2582 0.4804  4 Ga 2.71-2.73, 2 Ag 3.00-3.01
Ag 0.7399 0.7418 0.5197  4 Ga 2.71-2.73, 2 Ag 3.00-3.01
Ag 0.4057 0.9041 0.1877  3 Ga 2.64-2.66

Calculated values
Calculated total energy in eV per atom: -3.032
Space-group type: P-1, No. 2
Magnetic moment in μB per atom: 0.00
Energy above the most stable polymorph in this dataset in meV per atom: 0
Energy of formation in eV/atom: -0.3488

Number 1: D(E_F) 5.7 states/eV/cell. Number 2: D(E_F) 5.5 states/eV/cell.